Entry 1:
Compound: Cs3HI2
Source: Alexandria via LeMat-Bulk
Functional: PBE-GGA
Structure: relaxed

Cell lengths 5.1482, 7.6060, 15.9556 Å; angles 90.00, 90.00, 90.00 degrees
Last column: nearest neighbours and their distance in Å.
Space group Immm (No. 71)
Symmetry-distinct sites (fractional):
Cs (0.0000, 0.0000, 0.0000)  4 I 3.79, 2 H 3.80
Cs (0.0000, 0.0000, 0.3595)  2 H 3.41
H (0.0000, 0.5000, 0.0000)  6 Cs 3.41-3.80
I (0.0000, 0.5000, 0.3258)  6 Cs 3.79-3.92

***

Entry 2:
Compound: Cs4H4I
Source: Alexandria via LeMat-Bulk
Functional: PBE-GGA
Structure: relaxed

Cell lengths 10.3344, 10.3344, 6.0800 Å; angles 90.00, 90.00, 90.00 degrees
Last column: nearest neighbours and their distance in Å.
Space group I4/m (No. 87)
Symmetry-distinct sites (fractional):
Cs (0.1536, 0.6646, 0.0000)  5 H 2.97-3.11
H (0.1322, 0.3643, 0.0000)  5 Cs 2.97-3.11
I (0.0000, 0.0000, 0.5000)  4 Cs 3.96, 4 H 4.05

***

no.,uncorrected energy (eV/atom),magnetic moment (μB/cell)
1,-2.55,0.10
2,-2.24,2.03